First-principles (PBE-GGA) data for a relaxed structure of CsK12Rb5, as listed in Alexandria via LeMat-Bulk.

```
CsK12Rb5
1.0
16.2330 0.0238 0.0507
8.1332 11.4707 0.0251
-0.0252 -0.0002 7.6445
K Cs Rb
12 1 5
Cartesian
10.8989 3.8450 3.8719
2.8489 3.8340 7.6366
21.4921 7.6601 0.0838
13.4423 7.6496 3.8484
13.2937 0.0205 3.8709
11.0476 11.4741 3.8495
10.8319 0.0166 0.0409
13.3694 3.8508 0.0585
19.0199 7.6583 3.8973
10.9720 7.6439 7.6618
5.3209 3.8358 3.8231
13.5090 11.4777 7.6794
0.0003 0.0002 0.0000
8.1234 3.8899 0.0253
16.2369 11.4825 3.8727
16.2250 3.8424 3.8729
8.1167 7.6526 3.8475
16.2432 7.6045 0.0505
```

Calculated values
Spin magnetization (μB/atom): 0.000
ρ (Mg/m³): 1.2
Calculated volume (Å³ per atom): 79.00
E_form (meV per atom): 5